# GGA-PBE KCa2CdCu, optimized geometry
data_KCa2CdCu
_cell_length_a 5.7328
_cell_length_b 5.7328
_cell_length_c 5.2035
_cell_angle_alpha 90.00
_cell_angle_beta 90.00
_cell_angle_gamma 90.00
_symmetry_space_group_name_H-M 'P 1'
_symmetry_Int_Tables_number 1
_symmetry_space_group_name_Hall 'P 1'
loop_
_atom_site_label
_atom_site_type_symbol
_atom_site_fract_x
_atom_site_fract_y
_atom_site_fract_z
K1 K 0.0000 0.0000 0.0000
Ca1 Ca 0.0000 0.5000 0.5000
Ca2 Ca 0.5000 0.0000 0.5000
Cd1 Cd 0.5000 0.5000 0.0000
Cu1 Cu 0.5000 0.5000 0.5000
# ΔE_f	0.03	eV/atom
# size of the total moment	0.00	μB per atom
# SG	P4/mmm